Compound: KCrBi2P
Source: the Alexandria database
Functional: PBE
Structure: relaxed

ΔE_f	1.65	eV per atom
DOS(E_F)	1.16	states/eV per atom

Cell lengths 5.8503, 5.8503, 5.3182 Å; angles 90.00, 90.00, 90.00 degrees
Sites, in units of the cell vectors:
K (0.0000, 0.0000, 0.0000)
Cr (0.5000, 0.5000, 0.5000)
Bi (0.0000, 0.5000, 0.0000)
Bi (0.5000, 0.0000, 0.0000)
P (0.0000, 0.0000, 0.5000)